This record from Alexandria describes YHSe2 after structural relaxation. The functional is PBE.

Properties
* calculated volume: 295.1 Å³/cell
* ΔE to the lowest computed polymorph: 0.5638 eV per atom
* magnetic moment: 0.000 Bohr magnetons per cell

a b c (Å): 6.7364 6.7364 6.5032
angles (deg): 90.00 90.00 90.00
Space group I4/mcm (No. 140)
Asymmetric unit:
Y 0.0000 0.0000 0.2500 x4
H 0.0000 0.5000 0.2500 x4
Se 0.1698 0.3302 0.0000 x8